# 1
# AgIr2Pt

A geometry-optimized AgIr2Pt structure (GGA-PBEsol, the Alexandria database).

```
AgIr2Pt
1.0
5.410 0.000 0.000
0.000 9.443 0.000
-1.328 0.000 2.351
Ag Ir Pt
2 4 2
direct
0.000 0.000 0.000
0.500 0.500 0.000
0.250 0.250 0.500
0.250 0.750 0.500
0.750 0.250 0.500
0.750 0.750 0.500
0.000 0.500 0.000
0.500 0.000 0.000
```

Values from the calculation:
As for the space group: No. 12. As for the energy relative to the elements: 0.374 eV/atom. The energy above the most stable polymorph in this dataset comes out at 117.6 meV/atom. For the energy, the calculation gives -0.52229 Ry per atom.

=====

# 2
# Ag2IrPt

A geometry-optimized Ag2IrPt structure (GGA-PBEsol, the Alexandria database).

```
Ag2IrPt
1.0
5.459 0.000 0.000
0.000 9.607 0.000
-1.304 0.000 2.365
Ag Ir Pt
4 2 2
direct
0.250 0.250 0.000
0.250 0.750 0.000
0.750 0.250 0.000
0.750 0.750 0.000
0.000 0.000 0.500
0.500 0.500 0.500
0.000 0.500 0.500
0.500 0.000 0.500
```

Values from the calculation:
As for the space group: No. 12. As for the energy relative to the elements: 0.228 eV/atom. The energy above the most stable polymorph in this dataset comes out at 52.6 meV/atom. For the energy, the calculation gives -0.41336 Ry per atom.